Compound: KOsRh2
Source: Alexandria via LeMat-Bulk
Functional: meta-GGA SCAN
Structure: PBEsol geometry

Cell: 2.6486 4.7437 5.1527 Å, 90.00 90.00 90.00°
With the nearest neighbours (Å) after each atom.
Fractional coordinates of all 4 atoms:
1 K 0.5000 0.5000 0.0000  2 K 2.65, 4 Rh 2.72, 4 Os 2.90
2 Os 0.0000 0.5000 0.5000  2 Os 2.65, 4 Rh 2.72, 4 K 2.90
3 Rh 0.0000 0.0000 0.0000  6 Rh 2.65-2.90, 4 K 2.72
4 Rh 0.5000 0.0000 0.5000  6 Rh 2.65-2.90, 4 Os 2.72

Output
ΔE_f: 1.274 eV/atom
Magnetization: 1.57 μB per cell
Energy above the lowest structure with this stoichiometry: 0.769 eV/atom